Entry 1:
# Rb4Tl3Hg2 (PBE, optimized geometry)
# Calculated formation energy, eV/f.u.: -1.0
data_Rb4Tl3Hg2
_chemical_formula_sum 'Rb4 Tl3 Hg2'
_cell_length_a 9.8756
_cell_length_b 9.8756
_cell_length_c 8.4081
_cell_angle_alpha 105.64
_cell_angle_beta 105.64
_cell_angle_gamma 30.93
_symmetry_space_group_name_H-M 'P 1'
_symmetry_Int_Tables_number 1
_symmetry_space_group_name_Hall 'P 1'
loop_
_atom_site_label
_atom_site_type_symbol
_atom_site_fract_x
_atom_site_fract_y
_atom_site_fract_z
_atom_site_occupancy
Rb1 Rb 0.0789 0.0789 0.3758 1
Rb2 Rb 0.2700 0.2700 0.8105 1
Rb3 Rb 0.7300 0.7300 0.1895 1
Rb4 Rb 0.9211 0.9211 0.6242 1
Tl1 Tl 0.4054 0.4054 0.2686 1
Tl2 Tl 0.5000 0.5000 0.0000 1
Tl3 Tl 0.5946 0.5946 0.7314 1
Hg1 Hg 0.0940 0.0940 0.9386 1
Hg2 Hg 0.9060 0.9060 0.0614 1


Entry 2:
# Zn24Rh5 (PBE, optimized geometry)
# Calculated formation energy, eV/f.u.: -5.0
data_Zn24Rh5
_chemical_formula_sum 'Zn24 Rh5'
_cell_length_a 8.1058
_cell_length_b 8.1058
_cell_length_c 8.1058
_cell_angle_alpha 109.47
_cell_angle_beta 109.47
_cell_angle_gamma 109.47
_symmetry_space_group_name_H-M 'P 1'
_symmetry_Int_Tables_number 1
_symmetry_space_group_name_Hall 'P 1'
loop_
_atom_site_label
_atom_site_type_symbol
_atom_site_fract_x
_atom_site_fract_y
_atom_site_fract_z
_atom_site_occupancy
Zn1 Zn 0.0000 0.3170 0.6039 1
Zn2 Zn 0.0000 0.6039 0.3170 1
Zn3 Zn 0.0000 0.6336 0.8125 1
Zn4 Zn 0.0000 0.8125 0.6336 1
Zn5 Zn 0.1788 0.3664 0.3664 1
Zn6 Zn 0.1875 0.1875 0.8212 1
Zn7 Zn 0.1875 0.8212 0.1875 1
Zn8 Zn 0.2869 0.6830 0.6830 1
Zn9 Zn 0.3170 0.0000 0.6039 1
Zn10 Zn 0.3170 0.6039 0.0000 1
Zn11 Zn 0.3664 0.1788 0.3664 1
Zn12 Zn 0.3664 0.3664 0.1788 1
Zn13 Zn 0.3961 0.3961 0.7131 1
Zn14 Zn 0.3961 0.7131 0.3961 1
Zn15 Zn 0.6039 0.0000 0.3170 1
Zn16 Zn 0.6039 0.3170 0.0000 1
Zn17 Zn 0.6336 0.0000 0.8125 1
Zn18 Zn 0.6336 0.8125 0.0000 1
Zn19 Zn 0.6830 0.2869 0.6830 1
Zn20 Zn 0.6830 0.6830 0.2869 1
Zn21 Zn 0.7131 0.3961 0.3961 1
Zn22 Zn 0.8125 0.0000 0.6336 1
Zn23 Zn 0.8125 0.6336 0.0000 1
Zn24 Zn 0.8212 0.1875 0.1875 1
Rh1 Rh 0.0000 0.0000 0.0000 1
Rh2 Rh 0.0000 0.0000 0.3851 1
Rh3 Rh 0.0000 0.3851 0.0000 1
Rh4 Rh 0.3851 0.0000 0.0000 1
Rh5 Rh 0.6149 0.6149 0.6149 1


Entry 3:
# Ac2TmAl4Zn3 (PBE, optimized geometry)
# Calculated formation energy, eV/f.u.: -3.1
data_Ac2TmAl4Zn3
_chemical_formula_sum 'Ac2 Tm1 Al4 Zn3'
_cell_length_a 4.5041
_cell_length_b 4.5041
_cell_length_c 11.5736
_cell_angle_alpha 90.00
_cell_angle_beta 90.00
_cell_angle_gamma 90.00
_symmetry_space_group_name_H-M 'P 1'
_symmetry_Int_Tables_number 1
_symmetry_space_group_name_Hall 'P 1'
loop_
_atom_site_label
_atom_site_type_symbol
_atom_site_fract_x
_atom_site_fract_y
_atom_site_fract_z
_atom_site_occupancy
Ac1 Ac 0.0000 0.5000 0.2326 1
Ac2 Ac 0.5000 0.0000 0.7674 1
Tm1 Tm 0.0000 0.0000 0.5000 1
Al1 Al 0.0000 0.0000 0.0000 1
Al2 Al 0.0000 0.5000 0.6566 1
Al3 Al 0.5000 0.0000 0.3434 1
Al4 Al 0.5000 0.5000 0.0000 1
Zn1 Zn 0.0000 0.5000 0.8797 1
Zn2 Zn 0.5000 0.0000 0.1203 1
Zn3 Zn 0.5000 0.5000 0.5000 1


Entry 4:
# KRu4Rh (PBE, optimized geometry)
# Calculated formation energy, eV/f.u.: 6.0
data_KRu4Rh
_chemical_formula_sum 'K1 Ru4 Rh1'
_cell_length_a 5.2164
_cell_length_b 5.2164
_cell_length_c 5.2164
_cell_angle_alpha 60.00
_cell_angle_beta 60.00
_cell_angle_gamma 60.00
_symmetry_space_group_name_H-M 'P 1'
_symmetry_Int_Tables_number 1
_symmetry_space_group_name_Hall 'P 1'
loop_
_atom_site_label
_atom_site_type_symbol
_atom_site_fract_x
_atom_site_fract_y
_atom_site_fract_z
_atom_site_occupancy
K1 K 0.0000 0.0000 0.0000 1
Ru1 Ru 0.3757 0.3757 0.3757 1
Ru2 Ru 0.3757 0.3757 0.8730 1
Ru3 Ru 0.3757 0.8730 0.3757 1
Ru4 Ru 0.8730 0.3757 0.3757 1
Rh1 Rh 0.7500 0.7500 0.7500 1


Entry 5:
# Ca2Zn2SnO6 (PBE, optimized geometry)
# ΔE_f (raw), eV/atom: -1.94
data_Ca2Zn2SnO6
_chemical_formula_sum 'Ca2 Zn2 Sn1 O6'
_cell_length_a 5.4003
_cell_length_b 5.4003
_cell_length_c 5.5326
_cell_angle_alpha 90.00
_cell_angle_beta 90.00
_cell_angle_gamma 120.00
_symmetry_space_group_name_H-M 'P 1'
_symmetry_Int_Tables_number 1
_symmetry_space_group_name_Hall 'P 1'
loop_
_atom_site_label
_atom_site_type_symbol
_atom_site_fract_x
_atom_site_fract_y
_atom_site_fract_z
_atom_site_occupancy
Ca1 Ca 0.3333 0.6667 0.0000 1
Ca2 Ca 0.6667 0.3333 0.0000 1
Zn1 Zn 0.3333 0.6667 0.5000 1
Zn2 Zn 0.6667 0.3333 0.5000 1
Sn1 Sn 0.0000 0.0000 0.5000 1
O1 O 0.0000 0.3312 0.7145 1
O2 O 0.0000 0.6688 0.2855 1
O3 O 0.3312 0.0000 0.7145 1
O4 O 0.3312 0.3312 0.2855 1
O5 O 0.6688 0.0000 0.2855 1
O6 O 0.6688 0.6688 0.7145 1


Entry 6:
# Sm4Sc (PBE, optimized geometry)
# Polymorph energy (0 for the lowest one), kJ per mole of atoms: 5.1
# Calculated formation energy, eV/f.u.: 0.7
data_Sm4Sc
_chemical_formula_sum 'Sm4 Sc1'
_cell_length_a 5.7312
_cell_length_b 3.5464
_cell_length_c 8.5314
_cell_angle_alpha 90.00
_cell_angle_beta 109.56
_cell_angle_gamma 90.00
_symmetry_space_group_name_H-M 'P 1'
_symmetry_Int_Tables_number 1
_symmetry_space_group_name_Hall 'P 1'
loop_
_atom_site_label
_atom_site_type_symbol
_atom_site_fract_x
_atom_site_fract_y
_atom_site_fract_z
_atom_site_occupancy
Sm1 Sm 0.1130 0.0000 0.2243 1
Sm2 Sm 0.3118 0.5000 0.6246 1
Sm3 Sm 0.6882 0.5000 0.3754 1
Sm4 Sm 0.8870 0.0000 0.7757 1
Sc1 Sc 0.5000 0.0000 0.0000 1


Entry 7:
# Sn2PdRh (PBE, optimized geometry)
# Polymorph energy (0 for the lowest one), kJ per mole of atoms: 2.4
# Calculated formation energy, eV/f.u.: -1.3
data_Sn2PdRh
_chemical_formula_sum 'Sn4 Pd2 Rh2'
_cell_length_a 3.6212
_cell_length_b 6.9139
_cell_length_c 7.4609
_cell_angle_alpha 67.85
_cell_angle_beta 76.05
_cell_angle_gamma 89.92
_symmetry_space_group_name_H-M 'P 1'
_symmetry_Int_Tables_number 1
_symmetry_space_group_name_Hall 'P 1'
loop_
_atom_site_label
_atom_site_type_symbol
_atom_site_fract_x
_atom_site_fract_y
_atom_site_fract_z
_atom_site_occupancy
Sn1 Sn 0.0595 0.3316 0.3838 1
Sn2 Sn 0.2519 0.8098 0.9959 1
Sn3 Sn 0.7481 0.1902 0.0041 1
Sn4 Sn 0.9405 0.6684 0.6162 1
Pd1 Pd 0.4002 0.3401 0.6980 1
Pd2 Pd 0.5998 0.6599 0.3020 1
Rh1 Rh 0.1150 0.0122 0.2734 1
Rh2 Rh 0.8850 0.9878 0.7266 1


Entry 8:
# Zr6Al2N (PBE, optimized geometry)
# ΔE_f (raw), eV/atom: -0.43
data_Zr6Al2N
_chemical_formula_sum 'Zr6 Al2 N1'
_cell_length_a 3.3352
_cell_length_b 7.6809
_cell_length_c 7.6809
_cell_angle_alpha 118.29
_cell_angle_beta 90.00
_cell_angle_gamma 90.00
_symmetry_space_group_name_H-M 'P 1'
_symmetry_Int_Tables_number 1
_symmetry_space_group_name_Hall 'P 1'
loop_
_atom_site_label
_atom_site_type_symbol
_atom_site_fract_x
_atom_site_fract_y
_atom_site_fract_z
_atom_site_occupancy
Zr1 Zr 0.0000 0.0000 0.0000 1
Zr2 Zr 0.0000 0.5243 0.7515 1
Zr3 Zr 0.0000 0.7515 0.5243 1
Zr4 Zr 0.5000 0.1578 0.7548 1
Zr5 Zr 0.5000 0.3401 0.3401 1
Zr6 Zr 0.5000 0.7548 0.1578 1
Al1 Al 0.0000 0.0824 0.4234 1
Al2 Al 0.0000 0.4234 0.0824 1
N1 N 0.5000 0.8062 0.8062 1